No. 1
The following is a PBE calculation of an optimized crystal structure of Zr2TaCl, from Alexandria.

Unit cell a=5.2352 b=6.9195 c=3.1126 alpha=79.61 beta=79.74 gamma=127.39
With the nearest neighbours (Å) after each atom.
Positions (direct):
Cl 0.5000 0.5000 0.0000  4 Zr 2.80, 2 Cl 3.11
Ta 0.5000 0.0000 0.5000  4 Zr 2.80, 2 Ta 3.11
Zr 0.0000 0.0000 0.0000  2 Cl 2.80, 2 Ta 2.80, 2 Zr 3.11
Zr 0.0000 0.5000 0.5000  2 Ta 2.80, 2 Cl 2.80, 2 Zr 3.11

Summary:
symmetry: No. 12
raw total energy: -30.5 eV/f.u.

No. 2
The following is a PBE calculation of an optimized crystal structure of Pu2FeCuGe6, from Alexandria.

Unit cell a=6.1015 b=6.1015 c=12.2796 alpha=75.61 beta=75.61 gamma=60.00
With the nearest neighbours (Å) after each atom.
Positions (direct):
Pu 0.8817 0.8817 0.3550  9 Ge 3.08-3.29
Pu 0.1183 0.1183 0.6450  9 Ge 3.08-3.29
Pu 0.7032 0.7032 0.8904  9 Ge 3.07-3.23
Pu 0.2968 0.2968 0.1096  9 Ge 3.07-3.23
Fe 0.5701 0.5701 0.2897  6 Ge 2.32-2.43, 1 Cu 2.47
Fe 0.4299 0.4299 0.7103  6 Ge 2.32-2.43, 1 Cu 2.47
Cu 0.0000 0.0000 0.0000  6 Ge 2.50
Cu 0.5000 0.5000 0.5000  2 Fe 2.47, 6 Ge 2.52
Ge 0.9328 0.3447 0.3778  1 Fe 2.32, 2 Ge 2.51, 1 Cu 2.52
Ge 0.3447 0.9328 0.3778  1 Fe 2.32, 2 Ge 2.51, 1 Cu 2.52
Ge 0.3447 0.3447 0.3778  1 Fe 2.32, 2 Ge 2.51, 1 Cu 2.52
Ge 0.0672 0.6553 0.6222  1 Fe 2.32, 2 Ge 2.51, 1 Cu 2.52
Ge 0.6553 0.0672 0.6222  1 Fe 2.32, 2 Ge 2.51, 1 Cu 2.52
Ge 0.6553 0.6553 0.6222  1 Fe 2.32, 2 Ge 2.51, 1 Cu 2.52
Ge 0.6709 0.2300 0.8692  1 Fe 2.43, 1 Cu 2.50, 2 Ge 2.69
Ge 0.2300 0.6709 0.8692  1 Fe 2.43, 1 Cu 2.50, 2 Ge 2.69
Ge 0.2300 0.2300 0.8692  1 Fe 2.43, 1 Cu 2.50, 2 Ge 2.69
Ge 0.3291 0.7700 0.1308  1 Fe 2.43, 1 Cu 2.50, 2 Ge 2.69
Ge 0.7700 0.3291 0.1308  1 Fe 2.43, 1 Cu 2.50, 2 Ge 2.69
Ge 0.7700 0.7700 0.1308  1 Fe 2.43, 1 Cu 2.50, 2 Ge 2.69

Summary:
symmetry: No. 166
formation energy from the elements: -158 meV/atom

No. 3
The following is a PBE calculation of an optimized crystal structure of SrPr4Nd5, from Alexandria.

Unit cell a=3.7437 b=3.7437 c=26.5514 alpha=90.00 beta=90.00 gamma=90.00
With the nearest neighbours (Å) after each atom.
Positions (direct):
Sr 0.0000 0.0000 0.0000  4 Sr 3.74, 8 Nd 4.01
Pr 0.0000 0.0000 0.2066  8 Nd 3.62-3.73, 4 Pr 3.74
Pr 0.0000 0.0000 0.4022  8 Nd 3.69-3.71, 4 Pr 3.74
Pr 0.0000 0.0000 0.5978  8 Nd 3.69-3.71, 4 Pr 3.74
Pr 0.0000 0.0000 0.7934  8 Nd 3.62-3.73, 4 Pr 3.74
Nd 0.5000 0.5000 0.1134  4 Pr 3.62, 4 Nd 3.74, 4 Sr 4.01
Nd 0.5000 0.5000 0.3056  8 Pr 3.69-3.73, 4 Nd 3.74
Nd 0.5000 0.5000 0.5000  8 Pr 3.71, 4 Nd 3.74
Nd 0.5000 0.5000 0.6944  8 Pr 3.69-3.73, 4 Nd 3.74
Nd 0.5000 0.5000 0.8866  4 Pr 3.62, 4 Nd 3.74, 4 Sr 4.01

Summary:
symmetry: No. 123
formation energy from the elements: 41 meV/atom

No. 4
The following is a PBE calculation of an optimized crystal structure of GdTiV4, from Alexandria.

Unit cell a=5.1930 b=5.1930 c=5.1930 alpha=60.00 beta=60.00 gamma=60.00
With the nearest neighbours (Å) after each atom.
Positions (direct):
Gd 0.0000 0.0000 0.0000  12 V 3.05, 4 Ti 3.18
Ti 0.2500 0.2500 0.2500  12 V 3.04, 4 Gd 3.18
V 0.6247 0.6247 0.1260  6 V 2.59-2.60
V 0.6247 0.1260 0.6247  6 V 2.59-2.60
V 0.6247 0.6247 0.6247  6 V 2.59-2.60
V 0.1260 0.6247 0.6247  6 V 2.59-2.60

Summary:
symmetry: No. 216
formation energy from the elements: 280 meV/atom

No. 5
The following is a PBE calculation of an optimized crystal structure of CaCePr2N4, from Alexandria.

Unit cell a=3.6564 b=6.2458 c=6.2240 alpha=71.38 beta=90.00 gamma=90.00
With the nearest neighbours (Å) after each atom.
Positions (direct):
Ca 0.0000 0.5000 0.5000  6 N 2.54-2.61
Ce 0.5000 0.5000 0.0000  6 N 2.40-2.54
Pr 0.0000 0.0000 0.0000  6 N 2.52-2.55
Pr 0.5000 0.0000 0.5000  6 N 2.62-2.67
N 0.0000 0.7432 0.7589  3 Pr 2.52-2.62, 2 Ce 2.54, 1 Ca 2.54
N 0.0000 0.2568 0.2411  3 Pr 2.52-2.62, 2 Ce 2.54, 1 Ca 2.54
N 0.5000 0.7423 0.2306  1 Ce 2.40, 3 Pr 2.55-2.67, 2 Ca 2.61
N 0.5000 0.2577 0.7694  1 Ce 2.40, 3 Pr 2.55-2.67, 2 Ca 2.61

Summary:
symmetry: No. 10
raw total energy: -60.8 eV/f.u.

No. 6
The following is a PBE calculation of an optimized crystal structure of Ca3Pm2HoSe6, from Alexandria.

Unit cell a=7.1817 b=7.1817 c=7.3035 alpha=99.47 beta=99.47 gamma=119.94
With the nearest neighbours (Å) after each atom.
Positions (direct):
Ca 0.1687 0.8313 0.5000  6 Se 2.93-2.97
Ca 0.8313 0.1687 0.5000  6 Se 2.93-2.97
Ca 0.5000 0.5000 0.5000  6 Se 2.93-3.00
Pm 0.3340 0.6660 0.0000  6 Se 2.97-2.98
Pm 0.6660 0.3340 0.0000  6 Se 2.97-2.98
Ho 0.0000 0.0000 0.0000  6 Se 2.91
Se 0.9167 0.5909 0.7495  1 Ho 2.91, 3 Ca 2.93-2.97, 2 Pm 2.98
Se 0.7584 0.7584 0.2512  1 Ho 2.91, 3 Ca 2.94-3.00, 2 Pm 2.97
Se 0.0833 0.4091 0.2505  1 Ho 2.91, 3 Ca 2.93-2.97, 2 Pm 2.98
Se 0.5909 0.9167 0.7495  1 Ho 2.91, 3 Ca 2.93-2.97, 2 Pm 2.98
Se 0.2416 0.2416 0.7488  1 Ho 2.91, 3 Ca 2.94-3.00, 2 Pm 2.97
Se 0.4091 0.0833 0.2505  1 Ho 2.91, 3 Ca 2.93-2.97, 2 Pm 2.98

Summary:
symmetry: No. 12
raw total energy: -63.7 eV/f.u.

No. 7
The following is a PBE calculation of an optimized crystal structure of Tb6CeGa3, from Alexandria.

Unit cell a=7.5800 b=8.8514 c=8.8514 alpha=103.69 beta=90.00 gamma=90.00
With the nearest neighbours (Å) after each atom.
Positions (direct):
Tb 0.1238 0.7110 0.6475  4 Ga 2.96-3.07
Tb 0.6238 0.6475 0.7110  4 Ga 2.96-3.07
Tb 0.3008 0.5569 0.9424  3 Ga 3.02-3.14, 1 Tb 3.31, 1 Ce 3.32
Tb 0.8008 0.9424 0.5569  3 Ga 3.02-3.14, 1 Tb 3.31, 1 Ce 3.32
Tb 0.2498 0.9745 0.0255  4 Ga 3.01-3.28
Tb 0.5834 0.2544 0.7456  3 Ga 2.92-2.96
Tb 0.0834 0.7456 0.2544  3 Ga 2.92-2.96
Tb 0.7498 0.0255 0.9745  4 Ga 3.01-3.28
Tb 0.3008 0.0576 0.4431  3 Ga 3.02-3.14, 1 Tb 3.31, 1 Ce 3.32
Tb 0.8008 0.4431 0.0576  3 Ga 3.02-3.14, 1 Tb 3.31, 1 Ce 3.32
Tb 0.1238 0.3525 0.2890  4 Ga 2.96-3.07
Tb 0.6238 0.2890 0.3525  4 Ga 2.96-3.07
Ce 0.1097 0.2210 0.7790  3 Ga 3.14-3.43, 2 Tb 3.32
Ce 0.6097 0.7790 0.2210  3 Ga 3.14-3.43, 2 Tb 3.32
Ga 0.4319 0.9406 0.7168  7 Tb 2.96-3.28
Ga 0.9319 0.7168 0.9406  7 Tb 2.96-3.28
Ga 0.3296 0.4120 0.5880  7 Tb 2.92-3.10, 1 Ce 3.14
Ga 0.8296 0.5880 0.4120  7 Tb 2.92-3.10, 1 Ce 3.14
Ga 0.9319 0.0594 0.2832  7 Tb 2.96-3.28
Ga 0.4319 0.2832 0.0594  7 Tb 2.96-3.28

Summary:
symmetry: No. 36
formation energy from the elements: -201 meV/atom

No. 8
The following is a PBE calculation of an optimized crystal structure of InRh3, from Alexandria.

Unit cell a=5.1645 b=5.1645 c=5.1645 alpha=116.71 beta=116.71 gamma=116.71
With the nearest neighbours (Å) after each atom.
Positions (direct):
In 0.0000 0.0000 0.0000  6 Rh 2.71, 2 In 2.84
Rh 0.0000 0.5000 0.5000  6 Rh 2.71-2.84, 2 In 2.71
Rh 0.5000 0.5000 0.0000  6 Rh 2.71-2.84, 2 In 2.71
Rh 0.5000 0.0000 0.5000  6 Rh 2.71-2.84, 2 In 2.71

Summary:
symmetry: No. 166
formation energy from the elements: 86 meV/atom

No. 9
The following is a PBE calculation of an optimized crystal structure of CaBSbRh2, from Alexandria.

Unit cell a=4.8387 b=5.8129 c=4.8387 alpha=90.00 beta=90.00 gamma=90.00
With the nearest neighbours (Å) after each atom.
Positions (direct):
Sb 0.0000 0.0000 0.0000  4 Rh 2.42
Ca 0.0000 0.5000 0.0000  2 Sb 2.91
B 0.5000 0.5000 0.5000  4 Ca 3.42, 8 Rh 3.78
Rh 0.0000 0.0000 0.5000  2 Sb 2.42
Rh 0.5000 0.0000 0.0000  2 Sb 2.42

Summary:
symmetry: No. 123
raw total energy: -21.0 eV/f.u.

No. 10
The following is a PBE calculation of an optimized crystal structure of CrRh2Au, from Alexandria.

Unit cell a=9.0699 b=9.0699 c=9.0699 alpha=17.44 beta=17.44 gamma=17.44
With the nearest neighbours (Å) after each atom.
Positions (direct):
Rh 0.0098 0.0098 0.0098  3 Cr 2.53, 6 Rh 2.75
Rh 0.4902 0.4902 0.4902  3 Cr 2.53, 6 Rh 2.75
Au 0.2500 0.2500 0.2500  6 Au 2.75, 6 Rh 2.96
Cr 0.7500 0.7500 0.7500  6 Rh 2.53, 6 Cr 2.75

Summary:
symmetry: No. 166
formation energy from the elements: 6 meV/atom